A plane-wave DFT calculation with PBE was carried out for a relaxed PmSmEu2 crystal.

Values from the calculation:
The spin magnetization is 3.709 μB per atom. Its space group is P4/mmm, No. 123. The calculation puts the energy of formation at 142 meV per atom. The total energy comes out at -0.54112 Ry per atom. As for the density of states at the Fermi level: 5.58 states/eV/cell. As for the energy above the most stable polymorph in this dataset: 0.060 eV per atom.

```
PmSmEu2
1.0
-0.423 -3.736 1.568
4.424 1.145 3.922
-4.038 2.110 3.939
Eu Pm Sm
2 1 1
Cartesian
2.212 0.573 1.961
-2.019 1.055 1.969
-0.018 -0.241 4.714
-0.211 -1.868 0.784
```

=====

A plane-wave DFT calculation with PBE was carried out for a relaxed Th4H15 crystal.

Values from the calculation:
The spin magnetization is 0.000 μB per atom. Its space group is I-43d, No. 220. The total energy comes out at -0.34534 Ry per atom. As for the density of states at the Fermi level: 13.57 states/eV/cell.

```
Th4H15
1.0
-6.656 3.609 2.108
-1.721 -6.687 -3.755
4.249 -1.615 6.412
Th H
8 30
Cartesian
-3.788 -4.306 4.373
-0.854 0.864 4.788
1.122 -4.702 1.019
-4.737 -1.242 -0.650
-1.724 -1.960 1.990
1.983 -1.358 2.897
-2.978 1.671 1.582
-1.409 -3.046 -1.704
-2.853 1.111 6.184
1.133 -7.033 1.071
-0.571 -1.744 -0.025
0.337 -2.896 2.295
0.169 -0.627 1.717
1.606 -2.683 4.719
-4.300 -0.044 4.825
-5.953 -0.222 1.058
-0.665 -5.350 2.285
-0.779 0.788 7.117
-0.271 -1.328 3.859
-3.551 -2.180 3.446
-5.179 -2.430 1.250
-4.686 1.090 2.983
0.517 -4.582 4.530
-1.923 -1.049 5.430
-2.623 -4.890 -1.119
-7.056 -1.375 -0.452
-4.427 -4.708 0.122
-5.967 -3.346 -0.903
-3.003 -3.915 2.213
-1.146 -3.883 0.585
0.334 -0.739 5.995
-1.729 -3.320 3.902
-2.821 -2.409 0.038
1.595 -5.977 3.058
-3.743 -0.656 1.513
-0.528 -6.027 0.041
-2.154 0.032 3.021
-1.688 -0.005 0.721
```

=====

A plane-wave DFT calculation with PBE was carried out for a relaxed BaSCl3 crystal.

Values from the calculation:
The spin magnetization is 0.600 μB per atom. Its space group is Pm-3m, No. 221. The total energy comes out at -0.22420 Ry per atom. As for the density of states at the Fermi level: 3.10 states/eV/cell. The value obtained for the raw formation energy is -732.4 meV/atom. As for the energy above the most stable polymorph in this dataset: 0.242 eV per atom.

```
BaSCl3
1.0
-4.184 2.009 3.888
-4.087 0.129 -4.465
-1.565 -5.710 1.267
Cl S Ba
3 1 1
Cartesian
-2.043 0.064 -2.233
-0.782 -2.855 0.634
-2.092 1.005 1.944
-4.918 -1.786 0.345
0.000 0.000 0.000
```

=====

A plane-wave DFT calculation with PBE was carried out for a relaxed AsH2S3 crystal.

Values from the calculation:
The spin magnetization is 0.000 μB per atom. Its space group is Imm2, No. 44. The total energy comes out at -0.29350 Ry per atom. As for the density of states at the Fermi level: 1.36 states/eV/cell.

```
AsH2S3
1.0
4.216 0.000 0.000
0.000 6.226 0.000
-2.108 -3.113 5.320
S H As
3 2 1
Cartesian
0.000 0.248 0.000
0.000 -0.300 3.651
2.108 2.813 1.669
2.108 1.840 2.610
0.000 -1.273 2.710
2.108 1.298 0.000
```

=====

A plane-wave DFT calculation with PBE was carried out for a relaxed ZrHPd3 crystal.

Values from the calculation:
The spin magnetization is 0.000 μB per atom. Its space group is C2/m, No. 12. The total energy comes out at -0.44041 Ry per atom. As for the density of states at the Fermi level: 4.32 states/eV/cell. As for the energy above the most stable polymorph in this dataset: 0.000 eV per atom.

```
ZrHPd3
1.0
5.147 -0.001 -2.808
-1.521 4.782 -2.786
-0.179 -0.126 5.792
Pd Zr H
6 2 2
Cartesian
1.785 4.477 -3.123
-0.759 4.478 -1.736
1.705 4.414 -0.244
-0.002 2.093 -0.348
2.542 2.092 -1.736
-0.101 2.030 2.564
-0.821 4.476 1.250
2.425 1.968 1.071
4.225 0.894 -1.746
3.465 3.285 -3.139
```

=====

A plane-wave DFT calculation with PBE was carried out for a relaxed NiHgAsSe2 crystal.

Values from the calculation:
The spin magnetization is 0.000 μB per atom. Its space group is P4/mmm, No. 123. The total energy comes out at -0.23598 Ry per atom. As for the density of states at the Fermi level: 4.65 states/eV/cell. The value obtained for the raw formation energy is 329.6 meV/atom. As for the energy above the most stable polymorph in this dataset: 0.000 eV per atom.

```
NiHgAsSe2
1.0
5.005 0.000 0.000
0.000 5.005 0.000
0.000 0.000 4.387
Se As Ni Hg
2 1 1 1
Cartesian
0.000 2.502 0.000
2.502 0.000 0.000
0.000 0.000 2.194
0.000 0.000 0.000
2.502 2.502 2.194
```

=====

Q: spin magnetization of number 5 (ZrHPd3)?
A: 0.000 μB per atom